1.
First-principles (PBE) data for a geometry-optimized CeNdNO structure, as listed in Alexandria via LeMat-Bulk.

Structure (POSCAR):
```
CeNdNO
1.0
3.563 0.000 0.000
0.000 3.563 0.000
0.000 0.000 5.099
Ce Nd N O
1 1 1 1
Direct
0.000 0.000 0.500 Ce
0.500 0.500 0.000 Nd
0.500 0.500 0.500 N
0.000 0.000 0.000 O
```

ΔE_f (raw), eV/atom: -2.168
Total DFT energy (no corrections), eV/atom: -8.16


2.
First-principles (PBE) data for a geometry-optimized La3YPb structure, as listed in Alexandria via LeMat-Bulk.

Structure (POSCAR):
```
La3YPb
1.0
6.121 0.000 0.000
0.000 6.121 0.000
0.000 0.000 6.121
Pb Y La
1 1 3
Direct
0.000 0.000 0.000 Pb
0.500 0.500 0.500 Y
0.000 0.500 0.000 La
0.000 0.000 0.500 La
0.500 0.000 0.000 La
```

Excess energy over the best structure of this formula in the dataset, meV/atom: 0
Total DFT energy (no corrections), eV/atom: -4.67
Energy of formation from the pure elements, eV per atom: 0.32


3.
First-principles (PBE) data for a geometry-optimized SrInSn2Ge structure, as listed in Alexandria via LeMat-Bulk.

Structure (POSCAR):
```
SrInSn2Ge
1.0
5.970 0.000 0.000
0.000 5.972 0.000
0.000 0.000 5.970
Sr Ge Sn In
1 1 2 1
Direct
0.000 0.000 0.000 Sr
0.500 0.500 0.500 Ge
0.000 0.000 0.500 Sn
0.500 0.000 0.000 Sn
0.000 0.500 0.000 In
```

Total DFT energy (no corrections), eV/atom: -2.38
Energy of formation from the pure elements, eV per atom: 1.02


Which of these has the highest total DFT energy (no corrections)? SrInSn2Ge